This record from Alexandria via LeMat-Bulk describes a relaxed SmMg10Ag2 crystal. The functional is PBE.

Calculated values
ΔE_f   -0.1105 eV per atom
Symmetry   No. 69
VASP energy   -2.14 eV/atom
Magnetic moment   0.0 μB per formula unit
D(E_F)   6.57 states/eV per cell

a = 10.138 Å, b = 7.722 Å, c = 7.706 Å
α = 82.16°, β = 48.99°, γ = 48.86°
Fractional positions:
Sm: 0.000 0.000 0.000
Mg: 0.000 0.500 0.000
Mg: 0.012 0.653 0.347
Mg: 0.288 0.507 0.493
Mg: 0.347 0.988 0.012
Mg: 0.493 0.712 0.288
Mg: 0.500 0.000 0.500
Mg: 0.507 0.288 0.712
Mg: 0.653 0.012 0.988
Mg: 0.712 0.493 0.507
Mg: 0.988 0.347 0.653
Ag: 0.000 0.000 0.500
Ag: 0.500 0.500 0.000

***

This record from Alexandria via LeMat-Bulk describes a relaxed MgBiN2 crystal. The functional is PBE.

Calculated values
Symmetry   No. 225
Uncorrected formation energy   20.92 kcal/mol of atoms
VASP energy   -4.62 eV/atom
Magnetic moment   0.9 μB per formula unit
D(E_F)   2.40 states/eV per cell
Relative energy among the computed polymorphs   698 meV/atom

a = 4.237 Å, b = 4.237 Å, c = 4.237 Å
α = 60.00°, β = 60.00°, γ = 60.00°
Fractional positions:
Mg: 0.000 0.000 0.000
Bi: 0.500 0.500 0.500
N: 0.250 0.250 0.250
N: 0.750 0.750 0.750

***

This record from Alexandria via LeMat-Bulk describes a relaxed NdB4Pd12 crystal. The functional is PBE.

Calculated values
ΔE_f   -0.3281 eV per atom
Symmetry   No. 204
VASP energy   -5.85 eV/atom
Magnetic moment   0.0 μB per formula unit
D(E_F)   3.37 states/eV per cell

a = 6.888 Å, b = 6.888 Å, c = 6.888 Å
α = 109.47°, β = 109.47°, γ = 109.47°
Fractional positions:
Nd: 0.000 0.000 0.000
B: 0.000 0.000 0.500
B: 0.000 0.500 0.000
B: 0.500 0.000 0.000
B: 0.500 0.500 0.500
Pd: 0.140 0.817 0.323
Pd: 0.183 0.323 0.506
Pd: 0.183 0.677 0.860
Pd: 0.323 0.140 0.817
Pd: 0.323 0.506 0.183
Pd: 0.494 0.817 0.677
Pd: 0.506 0.183 0.323
Pd: 0.677 0.494 0.817
Pd: 0.677 0.860 0.183
Pd: 0.817 0.323 0.140
Pd: 0.817 0.677 0.494
Pd: 0.860 0.183 0.677

***

This record from Alexandria via LeMat-Bulk describes a relaxed Nd6Sn3N2 crystal. The functional is PBE.

Calculated values
Symmetry   No. 139
Uncorrected formation energy   -21.47 kcal/mol of atoms
VASP energy   -6.14 eV/atom
Magnetic moment   0.0 μB per formula unit
D(E_F)   1.78 states/eV per cell

a = 13.428 Å, b = 13.428 Å, c = 13.428 Å
α = 159.03°, β = 159.03°, γ = 29.83°
Fractional positions:
Nd: 0.084 0.584 0.500
Nd: 0.193 0.193 0.000
Nd: 0.416 0.916 0.500
Nd: 0.584 0.084 0.500
Nd: 0.807 0.807 0.000
Nd: 0.916 0.416 0.500
Sn: 0.323 0.323 0.000
Sn: 0.500 0.500 0.000
Sn: 0.677 0.677 0.000
N: 0.104 0.104 0.000
N: 0.896 0.896 0.000

***

This record from Alexandria via LeMat-Bulk describes a relaxed BaLiMg2 crystal. The functional is PBE.

Calculated values
ΔE_f   0.2105 eV per atom
Symmetry   No. 122
VASP energy   -1.55 eV/atom
Magnetic moment   0.0 μB per formula unit
D(E_F)   8.24 states/eV per cell
Relative energy among the computed polymorphs   256 meV/atom

a = 11.289 Å, b = 11.289 Å, c = 11.289 Å
α = 152.26°, β = 152.26°, γ = 39.63°
Fractional positions:
Ba: 0.000 0.000 0.000
Ba: 0.750 0.250 0.500
Li: 0.250 0.750 0.500
Li: 0.500 0.500 0.000
Mg: 0.307 0.625 0.182
Mg: 0.375 0.557 0.682
Mg: 0.443 0.125 0.818
Mg: 0.875 0.693 0.318

***

This record from Alexandria via LeMat-Bulk describes a relaxed YbHfIr2 crystal. The functional is PBE.

Calculated values
ΔE_f   -0.7000 eV per atom
Symmetry   No. 225
VASP energy   -8.00 eV/atom
Magnetic moment   0.2 μB per formula unit
D(E_F)   12.60 states/eV per cell

a = 4.698 Å, b = 4.698 Å, c = 4.698 Å
α = 60.00°, β = 60.00°, γ = 60.00°
Fractional positions:
Yb: 0.000 0.000 0.000
Hf: 0.500 0.500 0.500
Ir: 0.250 0.250 0.250
Ir: 0.750 0.750 0.750